{
  "formula": "CrCd3Ru",
  "functional": "PBE",
  "state": "optimized geometry",
  "space_group": "Pm-3m (221)",
  "vol_a3_per_atom": 27.0,
  "formation_enthalpy_0k_ev_per_fu": 4.7,
  "relative_energy_mev_per_atom": 0,
  "lattice": [[5.1269, 0.0000, 0.0000], [0.0000, 5.1269, 0.0000], [0.0000, 0.0000, 5.1269]],
  "species": ["Cr", "Cd", "Cd", "Cd", "Ru"],
  "frac_coords": [[0.0000, 0.0000, 0.0000], [0.0000, 0.5000, 0.5000], [0.5000, 0.0000, 0.5000], [0.5000, 0.5000, 0.0000], [0.5000, 0.5000, 0.5000]]
}

***

{
  "formula": "CrCdRu2",
  "functional": "PBE",
  "state": "optimized geometry",
  "space_group": "P4/mmm (123)",
  "vol_a3_per_atom": 15.3,
  "formation_enthalpy_0k_ev_per_fu": 1.8,
  "lattice": [[3.9698, 0.0000, 0.0000], [0.0000, 3.9698, 0.0000], [0.0000, 0.0000, 3.8830]],
  "species": ["Cr", "Cd", "Ru", "Ru"],
  "frac_coords": [[0.0000, 0.0000, 0.0000], [0.5000, 0.5000, 0.0000], [0.0000, 0.5000, 0.5000], [0.5000, 0.0000, 0.5000]]
}

***

{
  "formula": "CrCdRu2",
  "functional": "PBE",
  "state": "optimized geometry",
  "space_group": "I-42d (122)",
  "vol_a3_per_atom": 16.4,
  "formation_enthalpy_0k_ev_per_fu": 2.2,
  "lattice": [[-3.4749, 3.4749, 2.7084], [3.4749, -3.4749, 2.7084], [3.4749, 3.4749, -2.7084]],
  "species": ["Cr", "Cr", "Cd", "Cd", "Ru", "Ru", "Ru", "Ru"],
  "frac_coords": [[0.0000, 0.0000, 0.0000], [0.7500, 0.2500, 0.5000], [0.2500, 0.7500, 0.5000], [0.5000, 0.5000, 0.0000], [0.0645, 0.6250, 0.9395], [0.3750, 0.3145, 0.4395], [0.6855, 0.1250, 0.0605], [0.8750, 0.9355, 0.5605]]
}

***

{
  "formula": "CrCdRu2",
  "functional": "PBE",
  "state": "optimized geometry",
  "space_group": "I4/mmm (139)",
  "vol_a3_per_atom": 15.3,
  "formation_enthalpy_0k_ev_per_fu": 1.7,
  "lattice": [[-1.9678, 1.9678, 3.9486], [1.9678, -1.9678, 3.9486], [1.9678, 1.9678, -3.9486]],
  "species": ["Cr", "Cd", "Ru", "Ru"],
  "frac_coords": [[0.0000, 0.0000, 0.0000], [0.5000, 0.5000, 0.0000], [0.2500, 0.7500, 0.5000], [0.7500, 0.2500, 0.5000]]
}

***

{
  "formula": "CrCdRu2",
  "functional": "PBE",
  "state": "optimized geometry",
  "space_group": "Pm (6)",
  "vol_a3_per_atom": 15.4,
  "formation_enthalpy_0k_ev_per_fu": 1.4,
  "lattice": [[2.8090, 0.0000, 0.0000], [0.0000, 3.8237, 0.0000], [-0.0087, 0.0000, 5.7280]],
  "species": ["Cr", "Cd", "Ru", "Ru"],
  "frac_coords": [[0.0000, 0.0000, 0.0000], [0.4995, 0.5000, 0.7160], [0.4993, 0.5000, 0.2158], [0.9992, 0.0000, 0.4303]]
}

***

{
  "formula": "Cr2CdRu2",
  "functional": "PBE",
  "state": "optimized geometry",
  "space_group": "I4/mmm (139)",
  "vol_a3_per_atom": 16.2,
  "formation_enthalpy_0k_ev_per_fu": 1.8,
  "relative_energy_mev_per_atom": 116,
  "lattice": [[-1.9712, 1.9712, 5.2030], [1.9712, -1.9712, 5.2030], [1.9712, 1.9712, -5.2030]],
  "species": ["Cr", "Cr", "Cd", "Ru", "Ru"],
  "frac_coords": [[0.2500, 0.7500, 0.5000], [0.7500, 0.2500, 0.5000], [0.0000, 0.0000, 0.0000], [0.3799, 0.3799, 0.0000], [0.6201, 0.6201, 0.0000]]
}

***

{
  "formula": "CrCdRu4",
  "functional": "PBE",
  "state": "optimized geometry",
  "space_group": "F-43m (216)",
  "vol_a3_per_atom": 16.0,
  "formation_enthalpy_0k_ev_per_fu": 3.0,
  "lattice": [[0.0000, 3.6350, 3.6350], [3.6350, 0.0000, 3.6350], [3.6350, 3.6350, 0.0000]],
  "species": ["Cr", "Cd", "Ru", "Ru", "Ru", "Ru"],
  "frac_coords": [[0.0000, 0.0000, 0.0000], [0.2500, 0.2500, 0.2500], [0.1243, 0.6252, 0.6252], [0.6252, 0.1243, 0.6252], [0.6252, 0.6252, 0.1243], [0.6252, 0.6252, 0.6252]]
}

***

{
  "formula": "CrCdRu2",
  "functional": "PBE",
  "state": "optimized geometry",
  "space_group": "C2/m (12)",
  "vol_a3_per_atom": 15.2,
  "formation_enthalpy_0k_ev_per_fu": 1.3,
  "lattice": [[4.6146, -1.4153, 0.0000], [4.6146, 1.4153, 0.0000], [-1.3280, 0.0000, 4.6411]],
  "species": ["Cr", "Cd", "Ru", "Ru"],
  "frac_coords": [[0.0000, 0.0000, 0.0000], [0.5000, 0.5000, 0.5000], [0.2749, 0.2749, 0.7880], [0.7251, 0.7251, 0.2120]]
}

***

{
  "formula": "CrCdRu2",
  "functional": "PBE",
  "state": "optimized geometry",
  "space_group": "Immm (71)",
  "vol_a3_per_atom": 15.1,
  "formation_enthalpy_0k_ev_per_fu": 1.4,
  "lattice": [[-1.4295, 2.3268, 4.5312], [1.4295, -2.3268, 4.5312], [1.4295, 2.3268, -4.5312]],
  "species": ["Cr", "Cd", "Ru", "Ru"],
  "frac_coords": [[0.0000, 0.0000, 0.0000], [0.5000, 0.5000, 0.0000], [0.2193, 0.7193, 0.5000], [0.7807, 0.2807, 0.5000]]
}

***

{
  "formula": "CrCdRu2",
  "functional": "PBE",
  "state": "optimized geometry",
  "space_group": "Cmmm (65)",
  "vol_a3_per_atom": 15.3,
  "formation_enthalpy_0k_ev_per_fu": 1.9,
  "lattice": [[2.8180, -3.7974, 0.0000], [2.8180, 3.7974, 0.0000], [0.0000, 0.0000, 2.8674]],
  "species": ["Cr", "Cd", "Ru", "Ru"],
  "frac_coords": [[0.0000, 0.0000, 0.0000], [0.5000, 0.5000, 0.0000], [0.0000, 0.5000, 0.5000], [0.5000, 0.0000, 0.5000]]
}

***

{
  "formula": "CrCdRu2",
  "functional": "PBE",
  "state": "optimized geometry",
  "space_group": "P4/mmm (123)",
  "vol_a3_per_atom": 15.0,
  "formation_enthalpy_0k_ev_per_fu": 0.8,
  "lattice": [[2.9357, 0.0000, 0.0000], [0.0000, 2.9357, 0.0000], [0.0000, 0.0000, 6.9609]],
  "species": ["Cr", "Cd", "Ru", "Ru"],
  "frac_coords": [[0.0000, 0.0000, 0.0000], [0.0000, 0.0000, 0.5000], [0.5000, 0.5000, 0.2060], [0.5000, 0.5000, 0.7940]]
}

***

{
  "formula": "CrCdRu2",
  "functional": "PBE",
  "state": "optimized geometry",
  "space_group": "Cmmm (65)",
  "vol_a3_per_atom": 15.1,
  "formation_enthalpy_0k_ev_per_fu": 1.4,
  "lattice": [[1.4771, -2.3033, 0.0000], [1.4771, 2.3033, 0.0000], [0.0000, 0.0000, 8.8937]],
  "species": ["Cr", "Cd", "Ru", "Ru"],
  "frac_coords": [[0.0000, 0.0000, 0.0000], [0.0000, 0.0000, 0.5000], [0.5000, 0.5000, 0.2187], [0.5000, 0.5000, 0.7813]]
}

***

{
  "formula": "CrCdRu2",
  "functional": "PBE",
  "state": "optimized geometry",
  "space_group": "P4mm (99)",
  "vol_a3_per_atom": 15.4,
  "formation_enthalpy_0k_ev_per_fu": 1.8,
  "lattice": [[3.1077, 0.0000, 0.0000], [0.0000, 3.1077, 0.0000], [0.0000, 0.0000, 6.3941]],
  "species": ["Cr", "Cd", "Ru", "Ru"],
  "frac_coords": [[0.0000, 0.0000, 0.0000], [0.5000, 0.5000, 0.6969], [0.0000, 0.0000, 0.4112], [0.5000, 0.5000, 0.1617]]
}

***

{
  "formula": "CrCdRu2",
  "functional": "PBE",
  "state": "optimized geometry",
  "space_group": "F-43m (216)",
  "vol_a3_per_atom": 15.5,
  "formation_enthalpy_0k_ev_per_fu": 2.2,
  "lattice": [[0.0000, 3.1432, 3.1432], [3.1432, 0.0000, 3.1432], [3.1432, 3.1432, 0.0000]],
  "species": ["Cr", "Cd", "Ru", "Ru"],
  "frac_coords": [[0.0000, 0.0000, 0.0000], [0.7500, 0.7500, 0.7500], [0.2500, 0.2500, 0.2500], [0.5000, 0.5000, 0.5000]]
}

***

{
  "formula": "CrCdRu2",
  "functional": "PBE",
  "state": "optimized geometry",
  "space_group": "P4mm (99)",
  "vol_a3_per_atom": 15.6,
  "formation_enthalpy_0k_ev_per_fu": 1.2,
  "lattice": [[2.8052, 0.0000, 0.0000], [0.0000, 2.8052, 0.0000], [0.0000, 0.0000, 7.9151]],
  "species": ["Cr", "Cd", "Ru", "Ru"],
  "frac_coords": [[0.0000, 0.0000, 0.0000], [0.5000, 0.5000, 0.7184], [0.0000, 0.0000, 0.4422], [0.5000, 0.5000, 0.2255]]
}